18
Lattice="5.757 0.000 0.000 2.119 5.363 0.000 2.796 0.280 8.276" Properties=species:S:1:pos:R:3 comment="Na4CrO4 (PBE with a Hubbard U, relaxed)" dos_ef_per_ev_atom=0.0000 dft_energy_ev_per_atom=-5.229 crystal_system=triclinic pbc="T T T"
Na 1.891 1.539 3.582
Na 2.686 3.964 1.513
Na 2.037 1.318 0.096
Na 4.764 1.475 4.967
Na 5.908 4.167 3.310
Na 8.635 4.324 8.180
Na 7.986 1.678 6.763
Na 8.781 4.103 4.694
Cr 5.624 4.078 6.274
Cr 5.048 1.564 2.003
O 4.159 3.061 6.652
O 4.983 5.394 5.173
O 3.948 2.628 2.995
O 6.416 4.786 7.714
O 4.257 0.856 0.562
O 6.724 3.014 5.281
O 5.689 0.248 3.103
O 6.513 2.582 1.624